1.
# AlAsPd6 | Alexandria via LeMat-Bulk | PBE | relaxed
# Formation enthalpy at 0 K = -8.0 kcal/mol of atoms
data_AlAsPd6
_cell_length_a 6.823
_cell_length_b 6.407
_cell_length_c 4.701
_cell_angle_alpha 74.01
_cell_angle_beta 64.51
_cell_angle_gamma 41.47
_space_group_name_H-M_alt 'P 1'
_space_group_IT_number 1
_space_group_name_Hall 'P 1'
loop_
_atom_site_label
_atom_site_type_symbol
_atom_site_fract_x
_atom_site_fract_y
_atom_site_fract_z
Al1 Al 0.000 0.000 0.000
Pd1 Pd 0.381 0.381 0.119
Pd2 Pd 0.619 0.619 0.881
Pd3 Pd 0.119 0.119 0.381
Pd4 Pd 0.754 0.754 0.246
Pd5 Pd 0.246 0.246 0.754
Pd6 Pd 0.881 0.881 0.619
As1 As 0.500 0.500 0.500

---

2.
# AlAs4Pd10 | Alexandria via LeMat-Bulk | PBE | relaxed
# Formation enthalpy at 0 K = -9.0 kcal/mol of atoms
data_AlAs4Pd10
_cell_length_a 4.242
_cell_length_b 4.242
_cell_length_c 14.604
_cell_angle_alpha 98.35
_cell_angle_beta 98.35
_cell_angle_gamma 90.00
_space_group_name_H-M_alt 'P 1'
_space_group_IT_number 1
_space_group_name_Hall 'P 1'
loop_
_atom_site_label
_atom_site_type_symbol
_atom_site_fract_x
_atom_site_fract_y
_atom_site_fract_z
Pd1 Pd 0.450 0.950 0.901
Pd2 Pd 0.050 0.550 0.099
Pd3 Pd 0.750 0.250 0.500
Pd4 Pd 0.550 0.050 0.099
Pd5 Pd 0.150 0.650 0.299
Pd6 Pd 0.250 0.750 0.500
Pd7 Pd 0.850 0.350 0.701
Pd8 Pd 0.350 0.850 0.701
Pd9 Pd 0.950 0.450 0.901
Pd10 Pd 0.650 0.150 0.299
Al1 Al 0.000 0.000 0.000
As1 As 0.200 0.200 0.400
As2 As 0.800 0.800 0.600
As3 As 0.599 0.599 0.199
As4 As 0.401 0.401 0.801

---

3.
# AlAs2Pd8 | Alexandria via LeMat-Bulk | PBE | relaxed
# Formation enthalpy at 0 K = -10.4 kcal/mol of atoms
data_AlAs2Pd8
_cell_length_a 3.975
_cell_length_b 7.234
_cell_length_c 7.273
_cell_angle_alpha 119.82
_cell_angle_beta 105.86
_cell_angle_gamma 90.00
_space_group_name_H-M_alt 'P 1'
_space_group_IT_number 1
_space_group_name_Hall 'P 1'
loop_
_atom_site_label
_atom_site_type_symbol
_atom_site_fract_x
_atom_site_fract_y
_atom_site_fract_z
Pd1 Pd 0.000 0.694 0.000
Pd2 Pd 0.334 0.112 0.669
Pd3 Pd 0.866 0.866 0.732
Pd4 Pd 0.134 0.134 0.268
Pd5 Pd 0.666 0.443 0.331
Pd6 Pd 0.666 0.888 0.331
Pd7 Pd 0.000 0.306 0.000
Pd8 Pd 0.334 0.557 0.669
As1 As 0.821 0.321 0.642
As2 As 0.179 0.679 0.358
Al1 Al 0.500 0.000 0.000

---

4.
# Al2AsPdPt | Alexandria via LeMat-Bulk | PBE | relaxed
# Formation enthalpy at 0 K = 11.3 kcal/mol of atoms
data_Al2AsPdPt
_cell_length_a 4.713
_cell_length_b 4.582
_cell_length_c 4.713
_cell_angle_alpha 90.00
_cell_angle_beta 90.00
_cell_angle_gamma 90.00
_space_group_name_H-M_alt 'P 1'
_space_group_IT_number 1
_space_group_name_Hall 'P 1'
loop_
_atom_site_label
_atom_site_type_symbol
_atom_site_fract_x
_atom_site_fract_y
_atom_site_fract_z
Pt1 Pt 0.500 0.500 0.500
As1 As 0.000 0.000 0.000
Al1 Al 0.000 0.000 0.500
Al2 Al 0.500 0.000 0.000
Pd1 Pd 0.000 0.500 0.000

---

5.
# RbAl2AsPd | Alexandria via LeMat-Bulk | PBE | relaxed
# Formation enthalpy at 0 K = 0.8 kcal/mol of atoms
data_RbAl2AsPd
_cell_length_a 4.856
_cell_length_b 5.401
_cell_length_c 4.856
_cell_angle_alpha 90.00
_cell_angle_beta 90.00
_cell_angle_gamma 90.00
_space_group_name_H-M_alt 'P 1'
_space_group_IT_number 1
_space_group_name_Hall 'P 1'
loop_
_atom_site_label
_atom_site_type_symbol
_atom_site_fract_x
_atom_site_fract_y
_atom_site_fract_z
As1 As 0.000 0.500 0.000
Pd1 Pd 0.000 0.000 0.000
Al1 Al 0.000 0.000 0.500
Al2 Al 0.500 0.000 0.000
Rb1 Rb 0.500 0.500 0.500

---

6.
# AlAsPd2Ru | Alexandria via LeMat-Bulk | PBE | relaxed
# Formation enthalpy at 0 K = 8.3 kcal/mol of atoms
data_AlAsPd2Ru
_cell_length_a 4.583
_cell_length_b 4.562
_cell_length_c 4.583
_cell_angle_alpha 90.00
_cell_angle_beta 90.00
_cell_angle_gamma 90.00
_space_group_name_H-M_alt 'P 1'
_space_group_IT_number 1
_space_group_name_Hall 'P 1'
loop_
_atom_site_label
_atom_site_type_symbol
_atom_site_fract_x
_atom_site_fract_y
_atom_site_fract_z
Ru1 Ru 0.000 0.500 0.000
Al1 Al 0.500 0.500 0.500
Pd1 Pd 0.000 0.000 0.500
Pd2 Pd 0.500 0.000 0.000
As1 As 0.000 0.000 0.000

---

7.
# AlAsPdSe2 | Alexandria via LeMat-Bulk | PBE | relaxed
# Formation energy (no corrections) = 448 meV per atom
data_AlAsPdSe2
_cell_length_a 4.832
_cell_length_b 4.832
_cell_length_c 4.809
_cell_angle_alpha 90.00
_cell_angle_beta 90.00
_cell_angle_gamma 90.00
_space_group_name_H-M_alt 'P 1'
_space_group_IT_number 1
_space_group_name_Hall 'P 1'
loop_
_atom_site_label
_atom_site_type_symbol
_atom_site_fract_x
_atom_site_fract_y
_atom_site_fract_z
As1 As 0.000 0.000 0.500
Pd1 Pd 0.500 0.500 0.500
Se1 Se 0.000 0.500 0.000
Se2 Se 0.500 0.000 0.000
Al1 Al 0.000 0.000 0.000

---

8.
# AlAs2PdSe | Alexandria via LeMat-Bulk | PBE | relaxed
# Formation energy (no corrections) = 550 meV per atom
data_AlAs2PdSe
_cell_length_a 4.821
_cell_length_b 4.821
_cell_length_c 5.160
_cell_angle_alpha 90.00
_cell_angle_beta 90.00
_cell_angle_gamma 90.00
_space_group_name_H-M_alt 'P 1'
_space_group_IT_number 1
_space_group_name_Hall 'P 1'
loop_
_atom_site_label
_atom_site_type_symbol
_atom_site_fract_x
_atom_site_fract_y
_atom_site_fract_z
As1 As 0.500 0.000 0.000
As2 As 0.000 0.500 0.000
Se1 Se 0.000 0.000 0.500
Al1 Al 0.500 0.500 0.500
Pd1 Pd 0.000 0.000 0.000

---

9.
# AlAs2PdSe | Alexandria via LeMat-Bulk | PBE | relaxed
# Formation energy (no corrections) = 552 meV per atom
data_AlAs2PdSe
_cell_length_a 4.788
_cell_length_b 4.819
_cell_length_c 4.788
_cell_angle_alpha 90.00
_cell_angle_beta 90.00
_cell_angle_gamma 90.00
_space_group_name_H-M_alt 'P 1'
_space_group_IT_number 1
_space_group_name_Hall 'P 1'
loop_
_atom_site_label
_atom_site_type_symbol
_atom_site_fract_x
_atom_site_fract_y
_atom_site_fract_z
Pd1 Pd 0.500 0.500 0.500
Al1 Al 0.000 0.000 0.000
As1 As 0.500 0.000 0.000
As2 As 0.000 0.000 0.500
Se1 Se 0.000 0.500 0.000

---

10.
# Al2AsPdSe | Alexandria via LeMat-Bulk | PBE | relaxed
# Formation energy (no corrections) = 474 meV per atom
data_Al2AsPdSe
_cell_length_a 4.926
_cell_length_b 4.664
_cell_length_c 4.926
_cell_angle_alpha 90.00
_cell_angle_beta 90.00
_cell_angle_gamma 90.00
_space_group_name_H-M_alt 'P 1'
_space_group_IT_number 1
_space_group_name_Hall 'P 1'
loop_
_atom_site_label
_atom_site_type_symbol
_atom_site_fract_x
_atom_site_fract_y
_atom_site_fract_z
Se1 Se 0.000 0.000 0.000
As1 As 0.500 0.500 0.500
Al1 Al 0.500 0.000 0.000
Al2 Al 0.000 0.000 0.500
Pd1 Pd 0.000 0.500 0.000

---

11.
# AlAsPdSe2 | Alexandria via LeMat-Bulk | PBE | relaxed
# Formation energy (no corrections) = 452 meV per atom
data_AlAsPdSe2
_cell_length_a 5.156
_cell_length_b 4.639
_cell_length_c 5.156
_cell_angle_alpha 90.00
_cell_angle_beta 90.00
_cell_angle_gamma 90.00
_space_group_name_H-M_alt 'P 1'
_space_group_IT_number 1
_space_group_name_Hall 'P 1'
loop_
_atom_site_label
_atom_site_type_symbol
_atom_site_fract_x
_atom_site_fract_y
_atom_site_fract_z
Se1 Se 0.500 0.000 0.000
Se2 Se 0.000 0.000 0.500
Pd1 Pd 0.000 0.000 0.000
As1 As 0.000 0.500 0.000
Al1 Al 0.500 0.500 0.500

---

12.
# Sr2AlAsPd6 | Alexandria via LeMat-Bulk | PBE | relaxed
# Formation enthalpy at 0 K = -15.3 kcal/mol of atoms
data_Sr2AlAsPd6
_cell_length_a 6.697
_cell_length_b 6.785
_cell_length_c 6.683
_cell_angle_alpha 60.72
_cell_angle_beta 59.85
_cell_angle_gamma 89.94
_space_group_name_H-M_alt 'P 1'
_space_group_IT_number 1
_space_group_name_Hall 'P 1'
loop_
_atom_site_label
_atom_site_type_symbol
_atom_site_fract_x
_atom_site_fract_y
_atom_site_fract_z
Pd1 Pd 0.840 0.341 0.911
Pd2 Pd 0.250 0.339 0.499
Pd3 Pd 0.748 0.660 0.091
Pd4 Pd 0.252 0.340 0.909
Pd5 Pd 0.160 0.659 0.089
Pd6 Pd 0.750 0.661 0.501
Sr1 Sr 0.281 0.843 0.437
Sr2 Sr 0.719 0.157 0.563
Al1 Al 0.000 0.000 0.000
As1 As 0.500 0.500 0.000

---

13.
# PmAlAs | Alexandria via LeMat-Bulk | PBE | relaxed
# Formation enthalpy at 0 K = -12.4 kcal/mol of atoms
data_PmAlAs
_cell_length_a 3.560
_cell_length_b 3.560
_cell_length_c 5.809
_cell_angle_alpha 107.84
_cell_angle_beta 107.84
_cell_angle_gamma 90.00
_space_group_name_H-M_alt 'P 1'
_space_group_IT_number 1
_space_group_name_Hall 'P 1'
loop_
_atom_site_label
_atom_site_type_symbol
_atom_site_fract_x
_atom_site_fract_y
_atom_site_fract_z
As1 As 0.698 0.698 0.397
Pm1 Pm 0.002 0.002 0.004
Al1 Al 0.300 0.300 0.599

---

14.
# PmAlAs | Alexandria via LeMat-Bulk | PBE | relaxed
# Formation enthalpy at 0 K = -15.0 kcal/mol of atoms
data_PmAlAs
_cell_length_a 3.887
_cell_length_b 5.721
_cell_length_c 7.121
_cell_angle_alpha 89.81
_cell_angle_beta 90.00
_cell_angle_gamma 109.86
_space_group_name_H-M_alt 'P 1'
_space_group_IT_number 1
_space_group_name_Hall 'P 1'
loop_
_atom_site_label
_atom_site_type_symbol
_atom_site_fract_x
_atom_site_fract_y
_atom_site_fract_z
As1 As 0.143 0.286 0.800
As2 As 0.857 0.714 0.200
Al1 Al 0.606 0.211 0.580
Al2 Al 0.394 0.789 0.420
Pm1 Pm 0.866 0.732 0.787
Pm2 Pm 0.134 0.268 0.213

---

15.
# PmAlAs | Alexandria via LeMat-Bulk | PBE | relaxed
# Formation enthalpy at 0 K = -15.6 kcal/mol of atoms
data_PmAlAs
_cell_length_a 3.928
_cell_length_b 4.470
_cell_length_c 4.470
_cell_angle_alpha 120.00
_cell_angle_beta 90.00
_cell_angle_gamma 90.00
_space_group_name_H-M_alt 'P 1'
_space_group_IT_number 1
_space_group_name_Hall 'P 1'
loop_
_atom_site_label
_atom_site_type_symbol
_atom_site_fract_x
_atom_site_fract_y
_atom_site_fract_z
Al1 Al 0.833 0.667 0.333
Pm1 Pm 0.333 0.333 0.667
As1 As 0.833 0.000 0.000

---

16.
# Pm2AlAs | Alexandria via LeMat-Bulk | PBE | relaxed
# Formation enthalpy at 0 K = -7.0 kcal/mol of atoms
data_Pm2AlAs
_cell_length_a 3.927
_cell_length_b 3.927
_cell_length_c 10.116
_cell_angle_alpha 78.81
_cell_angle_beta 78.81
_cell_angle_gamma 60.00
_space_group_name_H-M_alt 'P 1'
_space_group_IT_number 1
_space_group_name_Hall 'P 1'
loop_
_atom_site_label
_atom_site_type_symbol
_atom_site_fract_x
_atom_site_fract_y
_atom_site_fract_z
As1 As 0.500 0.500 0.500
Pm1 Pm 0.893 0.893 0.322
Pm2 Pm 0.107 0.107 0.678
Al1 Al 0.000 0.000 0.000

---

17.
# Pm2AlAs | Alexandria via LeMat-Bulk | PBE | relaxed
# Formation enthalpy at 0 K = -12.2 kcal/mol of atoms
data_Pm2AlAs
_cell_length_a 5.231
_cell_length_b 5.231
_cell_length_c 5.231
_cell_angle_alpha 60.00
_cell_angle_beta 60.00
_cell_angle_gamma 60.00
_space_group_name_H-M_alt 'P 1'
_space_group_IT_number 1
_space_group_name_Hall 'P 1'
loop_
_atom_site_label
_atom_site_type_symbol
_atom_site_fract_x
_atom_site_fract_y
_atom_site_fract_z
Pm1 Pm 0.750 0.750 0.750
Pm2 Pm 0.250 0.250 0.250
Al1 Al 0.000 0.000 0.000
As1 As 0.500 0.500 0.500

---

18.
# Pm2AlAs | Alexandria via LeMat-Bulk | PBE | relaxed
# Formation enthalpy at 0 K = -16.6 kcal/mol of atoms
data_Pm2AlAs
_cell_length_a 3.820
_cell_length_b 3.820
_cell_length_c 6.784
_cell_angle_alpha 90.00
_cell_angle_beta 90.00
_cell_angle_gamma 90.00
_space_group_name_H-M_alt 'P 1'
_space_group_IT_number 1
_space_group_name_Hall 'P 1'
loop_
_atom_site_label
_atom_site_type_symbol
_atom_site_fract_x
_atom_site_fract_y
_atom_site_fract_z
Al1 Al 0.500 0.500 0.500
Pm1 Pm 0.000 0.000 0.238
Pm2 Pm 0.000 0.000 0.762
As1 As 0.500 0.500 0.000

---

19.
# PmAlAs2Rh5 | Alexandria via LeMat-Bulk | PBE | relaxed
# Formation enthalpy at 0 K = -13.7 kcal/mol of atoms
data_PmAlAs2Rh5
_cell_length_a 4.099
_cell_length_b 4.099
_cell_length_c 10.118
_cell_angle_alpha 90.00
_cell_angle_beta 90.00
_cell_angle_gamma 90.00
_space_group_name_H-M_alt 'P 1'
_space_group_IT_number 1
_space_group_name_Hall 'P 1'
loop_
_atom_site_label
_atom_site_type_symbol
_atom_site_fract_x
_atom_site_fract_y
_atom_site_fract_z
As1 As 0.500 0.500 0.734
As2 As 0.500 0.500 0.266
Pm1 Pm 0.000 0.000 0.500
Al1 Al 0.000 0.000 0.000
Rh1 Rh 0.500 0.000 0.854
Rh2 Rh 0.000 0.500 0.146
Rh3 Rh 0.500 0.500 0.500
Rh4 Rh 0.500 0.000 0.146
Rh5 Rh 0.000 0.500 0.854

---

20.
# Pm2AlAs3Rh4 | Alexandria via LeMat-Bulk | PBE | relaxed
# Formation enthalpy at 0 K = -22.0 kcal/mol of atoms
data_Pm2AlAs3Rh4
_cell_length_a 4.194
_cell_length_b 4.194
_cell_length_c 10.330
_cell_angle_alpha 90.00
_cell_angle_beta 90.00
_cell_angle_gamma 90.00
_space_group_name_H-M_alt 'P 1'
_space_group_IT_number 1
_space_group_name_Hall 'P 1'
loop_
_atom_site_label
_atom_site_type_symbol
_atom_site_fract_x
_atom_site_fract_y
_atom_site_fract_z
As1 As 0.500 0.000 0.863
As2 As 0.000 0.500 0.137
As3 As 0.000 0.000 0.500
Rh1 Rh 0.500 0.500 0.000
Rh2 Rh 0.000 0.500 0.371
Rh3 Rh 0.500 0.000 0.629
Rh4 Rh 0.000 0.000 0.000
Pm1 Pm 0.000 0.500 0.750
Pm2 Pm 0.500 0.000 0.250
Al1 Al 0.500 0.500 0.500

---

Number 1: M_tot 0.00 μB per cell. Number 2: M_tot 0.00 μB per cell. Number 3: M_tot 0.00 μB per cell. Number 4: M_tot 0.00 μB per cell. Number 5: M_tot 0.00 μB per cell. Number 6: M_tot 0.00 μB per cell. Number 7: M_tot 0.00 μB per cell. Number 8: M_tot 0.30 μB per cell. Number 9: M_tot 0.00 μB per cell. Number 10: M_tot 0.00 μB per cell. Number 11: M_tot 0.00 μB per cell. Number 12: M_tot 0.00 μB per cell. Number 13: M_tot 0.00 μB per cell. Number 14: M_tot 0.00 μB per cell. Number 15: M_tot 0.00 μB per cell. Number 16: M_tot 0.00 μB per cell. Number 17: M_tot 0.00 μB per cell. Number 18: M_tot 0.00 μB per cell. Number 19: M_tot 0.00 μB per cell. Number 20: M_tot 0.00 μB per cell.